Below is crystalline Li2NpMoO8 at its relaxed geometry, with properties calculated at the PBE with a Hubbard U level.

Computed properties:
The volume comes out at 12.1 Å³/atom. As for the theoretical density: 5.43 g cm⁻³. The value obtained for the total energy is -7.093 eV/atom. For the total magnetization, the calculation gives 0.97 Bohr magnetons per cell. The space group is No. 119.

Unit cell a=5.749 b=5.749 c=5.749 alpha=112.32 beta=112.32 gamma=103.92
Each line ends with the local moment (μB).
Fractional positions:
Mo: 0.250 0.750 0.500  -0.14
O: 0.959 0.664 0.705  0.06
O: 0.336 0.041 0.295  0.06
O: 0.456 0.677 0.779  0.18
O: 0.959 0.253 0.295  0.06
O: 0.747 0.041 0.705  0.06
O: 0.898 0.677 0.221  0.18
O: 0.323 0.544 0.221  0.18
O: 0.323 0.102 0.779  0.18
Li: 0.500 0.500 0.000  0.00
Li: 0.750 0.250 0.500  0.00
Np: 0.000 0.000 0.000  -0.03